The following is a DFT calculation (GGA-PBE) of Pm3In2Pb after structural relaxation.

- SG: Cmmm (65)
- Energy of formation: -499 meV/atom
- E above lowest polymorph: 0 meV/atom

Cell lengths 4.455, 5.073, 15.288 Å; angles 90.00, 90.00, 90.00 degrees
Positions (direct):
Pm: 0.500 0.000 0.167
Pb: 0.000 0.000 0.000
In: 0.000 0.500 0.171
In: 0.000 0.500 0.829
Pm: 0.500 0.000 0.833
Pm: 0.500 0.000 0.500
Pm: 0.500 0.500 0.667
Pm: 0.500 0.500 0.333
In: 0.000 0.000 0.671
Pm: 0.500 0.500 0.000
In: 0.000 0.000 0.329
Pb: 0.000 0.500 0.500